# Te2MoPI GGA-PBE relaxed
# - Magnetic moment: 3.6 Bohr magnetons per cell
# - E_tot: -18.73 eV/cell
# - Relative energy among the computed polymorphs: 182.0 meV per atom
# - Formation energy without anion corrections: 5.344 eV/f.u.
data_Te2MoPI
_cell_length_a 5.321
_cell_length_b 5.321
_cell_length_c 5.228
_cell_angle_alpha 90.00
_cell_angle_beta 90.00
_cell_angle_gamma 90.00
_space_group_name_H-M_alt 'P 4/m m m'
_space_group_IT_number 123
_space_group_name_Hall '-P 4 2'
loop_
_atom_site_label
_atom_site_type_symbol
_atom_site_fract_x
_atom_site_fract_y
_atom_site_fract_z
Te1 Te 0.000 0.500 0.000
Mo1 Mo 0.000 0.000 0.500
P1 P 0.500 0.500 0.000
I1 I 0.500 0.500 0.500